This record from Alexandria describes ScTlHW2 after structural relaxation. The functional is GGA-PBEsol.

a = 3.9736 Å, b = 3.9736 Å, c = 4.7046 Å
α = 90.00°, β = 90.00°, γ = 90.00°
Fractional coordinates of all 5 atoms:
Sc 0.0000 0.0000 0.0000
Tl 0.5000 0.5000 0.0000
H 0.5000 0.5000 0.5000
W 0.0000 0.5000 0.5000
W 0.5000 0.0000 0.5000

Results
Mass density = 13815 kg/m3
Crystal system = tetragonal
Final energy = -38.2 eV per formula unit
SG = P4/mmm (123)